A plane-wave DFT calculation with PBE was carried out for RbBeReH2 after structural relaxation.

The raw total energy comes out at -15.38 eV/f.u.

It has space group P4/mmm (No. 123), with a = 4.169 Å, b = 4.169 Å, c = 4.348 Å, α = 90.00°, β = 90.00° and γ = 90.00°. The distinct sites, in fractional coordinates, are Rb at (0.000, 0.000, 0.000), Be at (0.500, 0.500, 0.500), Re at (0.500, 0.500, 0.000) and H at (0.000, 0.500, 0.500).

A plane-wave DFT calculation with PBE was carried out for Al2ZnRuAu after structural relaxation.

Its calculated formation energy is 231 meV per atom. The value obtained for the energy above the most stable polymorph in this dataset is 0.0000 eV per atom.

It has space group P4/mmm (No. 123), with a = 4.638 Å, b = 4.638 Å, c = 4.767 Å, α = 90.00°, β = 90.00° and γ = 90.00°. The distinct sites, in fractional coordinates, are Al at (0.000, 0.500, 0.000), Zn at (0.000, 0.000, 0.500), Ru at (0.000, 0.000, 0.000) and Au at (0.500, 0.500, 0.500).

A plane-wave DFT calculation with PBE was carried out for ZrAl2Pt2 after structural relaxation.

Its calculated formation energy is -905 meV per atom. The value obtained for the energy above the most stable polymorph in this dataset is 0.0148 eV per atom.

It has space group P4/mbm (No. 127), with a = 7.647 Å, b = 7.647 Å, c = 2.779 Å, α = 90.00°, β = 90.00° and γ = 90.00°. The distinct sites, in fractional coordinates, are Zr at (0.000, 0.000, 0.000), Al at (0.129, 0.371, 0.000) and Pt at (0.166, 0.666, 0.500).